Cr2ClF | the Alexandria database | PBE with a Hubbard U | optimized geometry; Fermi-level density of states = 1.39 states/eV per cell; V = 16.511 Å³ per atom; theoretical density = 3.98 g/cm3; energy relative to the lowest polymorph listed for this composition = 128 meV per atom
1.0
0.000 3.208 3.208
3.208 0.000 3.208
3.208 3.208 0.000
Cr F Cl
2 1 1
direct
0.250 0.250 0.250 Cr
0.750 0.750 0.750 Cr
0.000 0.000 0.000 F
0.500 0.500 0.500 Cl